Computed, not measured: crystalline Tb12Pm5Er2 at its relaxed geometry at the PBE-GGA level of DFT.

a = 6.044 Å, b = 9.799 Å, c = 12.170 Å
α = 119.27°, β = 95.56°, γ = 91.21°
Positions (direct):
Pm (0.000, 0.000, 0.500)
Pm (0.495, 0.377, 0.333)
Pm (0.099, 0.691, 0.155)
Pm (0.505, 0.623, 0.667)
Pm (0.901, 0.309, 0.845)
Tb (0.613, 0.691, 0.288)
Tb (0.929, 0.356, 0.540)
Tb (0.572, 0.930, 0.608)
Tb (0.428, 0.070, 0.392)
Tb (0.040, 0.659, 0.842)
Tb (0.166, 0.959, 0.776)
Tb (0.571, 0.669, 0.986)
Tb (0.429, 0.331, 0.014)
Tb (0.387, 0.309, 0.712)
Tb (0.834, 0.041, 0.224)
Tb (0.071, 0.644, 0.460)
Tb (0.960, 0.341, 0.158)
Er (0.718, 0.986, 0.921)
Er (0.282, 0.014, 0.079)

Values from the calculation:
Energy of formation from the pure elements   114 meV per atom
Mass density   7.90 g/cm³
SG   P-1
E_tot   -4.541 eV/atom

---

Computed, not measured: crystalline NaYGa2Bi at its relaxed geometry at the PBE-GGA level of DFT.

a = 5.049 Å, b = 5.049 Å, c = 5.423 Å
α = 90.00°, β = 90.00°, γ = 90.00°
Positions (direct):
Bi (0.000, 0.000, 0.500)
Ga (0.000, 0.500, 0.000)
Ga (0.500, 0.000, 0.000)
Y (0.500, 0.500, 0.500)
Na (0.000, 0.000, 0.000)

Values from the calculation:
Energy of formation from the pure elements   293 meV per atom
Mass density   5.53 g/cm³
SG   P4/mmm
E_tot   -3.250 eV/atom

---

Computed, not measured: crystalline SiP4W at its relaxed geometry at the PBE-GGA level of DFT.

a = 4.961 Å, b = 4.961 Å, c = 4.961 Å
α = 60.00°, β = 60.00°, γ = 60.00°
Positions (direct):
P (0.376, 0.873, 0.376)
P (0.873, 0.376, 0.376)
P (0.376, 0.376, 0.376)
P (0.376, 0.376, 0.873)
Si (0.750, 0.750, 0.750)
W (0.000, 0.000, 0.000)

Values from the calculation:
E_form (uncorrected)   0.939 eV/atom
Mass density   6.46 g/cm³
SG   F-43m
E_tot   -5.730 eV/atom

---

Computed, not measured: crystalline La2ZnSb3Pd4 at its relaxed geometry at the PBE-GGA level of DFT.

a = 4.561 Å, b = 4.561 Å, c = 10.668 Å
α = 90.00°, β = 90.00°, γ = 90.00°
Positions (direct):
La (0.000, 0.500, 0.756)
La (0.500, 0.000, 0.244)
Zn (0.500, 0.500, 0.500)
Pd (0.000, 0.000, 0.000)
Pd (0.000, 0.500, 0.379)
Pd (0.500, 0.000, 0.621)
Pd (0.500, 0.500, 0.000)
Sb (0.000, 0.500, 0.135)
Sb (0.500, 0.000, 0.865)
Sb (0.000, 0.000, 0.500)

Values from the calculation:
E_form (uncorrected)   -0.879 eV/atom
Mass density   8.48 g/cm³
SG   P-4m2
E_tot   -5.306 eV/atom

---

Computed, not measured: crystalline Pa2Co12B7 at its relaxed geometry at the PBE-GGA level of DFT.

a = 3.388 Å, b = 8.488 Å, c = 8.488 Å
α = 120.00°, β = 90.00°, γ = 90.00°
Positions (direct):
B (0.000, 0.728, 0.962)
B (0.000, 0.333, 0.667)
B (0.000, 0.234, 0.272)
B (0.500, 0.430, 0.052)
B (0.000, 0.038, 0.766)
B (0.500, 0.948, 0.379)
B (0.500, 0.621, 0.570)
Pa (0.500, 0.000, 0.000)
Pa (0.000, 0.667, 0.333)
Co (0.500, 0.389, 0.283)
Co (0.000, 0.455, 0.516)
Co (0.500, 0.233, 0.786)
Co (0.500, 0.552, 0.767)
Co (0.000, 0.267, 0.035)
Co (0.500, 0.717, 0.106)
Co (0.000, 0.965, 0.232)
Co (0.000, 0.484, 0.938)
Co (0.000, 0.062, 0.545)
Co (0.000, 0.768, 0.733)
Co (0.500, 0.894, 0.611)
Co (0.500, 0.214, 0.448)

Values from the calculation:
Energy of formation from the pure elements   -392 meV per atom
Mass density   9.78 g/cm³
SG   P-6
E_tot   -7.583 eV/atom

---

Computed, not measured: crystalline YCdGe2 at its relaxed geometry at the PBE-GGA level of DFT.

a = 4.542 Å, b = 4.542 Å, c = 10.015 Å
α = 76.89°, β = 76.89°, γ = 90.00°
Positions (direct):
Ge (0.059, 0.625, 0.250)
Ge (0.875, 0.941, 0.750)
Ge (0.691, 0.125, 0.250)
Ge (0.375, 0.309, 0.750)
Cd (0.000, 0.000, 0.000)
Cd (0.750, 0.250, 0.500)
Y (0.500, 0.500, 0.000)
Y (0.250, 0.750, 0.500)

Values from the calculation:
Energy of formation from the pure elements   -81 meV per atom
Mass density   5.88 g/cm³
SG   I-42d
E_tot   -4.234 eV/atom

---

Computed, not measured: crystalline Ca12Hg3N5 at its relaxed geometry at the PBE-GGA level of DFT.

a = 13.831 Å, b = 13.831 Å, c = 13.831 Å
α = 109.47°, β = 109.47°, γ = 109.47°
Positions (direct):
Ca (0.898, 0.816, 0.508)
Ca (0.082, 0.184, 0.192)
Ca (0.992, 0.390, 0.308)
Ca (0.582, 0.692, 0.684)
Ca (0.192, 0.508, 0.610)
Ca (0.508, 0.192, 0.110)
Ca (0.308, 0.890, 0.992)
Ca (0.192, 0.684, 0.082)
Ca (0.492, 0.808, 0.890)
Ca (0.684, 0.492, 0.602)
Ca (0.008, 0.398, 0.816)
Ca (0.898, 0.082, 0.890)
Ca (0.610, 0.602, 0.918)
Ca (0.418, 0.308, 0.316)
Ca (0.692, 0.110, 0.008)
Ca (0.890, 0.308, 0.492)
Ca (0.918, 0.102, 0.610)
Ca (0.184, 0.102, 0.992)
Ca (0.492, 0.684, 0.102)
Ca (0.992, 0.602, 0.184)
Ca (0.684, 0.192, 0.582)
Ca (0.602, 0.992, 0.684)
Ca (0.508, 0.316, 0.898)
Ca (0.102, 0.918, 0.110)
Ca (0.008, 0.610, 0.692)
Ca (0.184, 0.082, 0.692)
Ca (0.110, 0.418, 0.102)
Ca (0.398, 0.390, 0.582)
Ca (0.918, 0.816, 0.808)
Ca (0.110, 0.692, 0.508)
Ca (0.808, 0.316, 0.918)
Ca (0.316, 0.508, 0.398)
Ca (0.610, 0.008, 0.192)
Ca (0.692, 0.582, 0.184)
Ca (0.308, 0.418, 0.816)
Ca (0.816, 0.898, 0.008)
Ca (0.082, 0.898, 0.390)
Ca (0.602, 0.610, 0.418)
Ca (0.390, 0.398, 0.082)
Ca (0.816, 0.918, 0.308)
Ca (0.102, 0.184, 0.492)
Ca (0.808, 0.492, 0.390)
Ca (0.316, 0.808, 0.418)
Ca (0.390, 0.992, 0.808)
Ca (0.582, 0.890, 0.398)
Ca (0.398, 0.008, 0.316)
Ca (0.418, 0.110, 0.602)
Ca (0.890, 0.582, 0.898)
Hg (0.250, 0.125, 0.375)
Hg (0.750, 0.875, 0.625)
Hg (0.875, 0.750, 0.125)
Hg (0.250, 0.625, 0.875)
Hg (0.875, 0.125, 0.250)
Hg (0.125, 0.250, 0.875)
Hg (0.375, 0.625, 0.250)
Hg (0.625, 0.375, 0.750)
Hg (0.625, 0.250, 0.375)
Hg (0.375, 0.750, 0.625)
Hg (0.750, 0.375, 0.125)
Hg (0.125, 0.875, 0.750)
N (0.875, 0.625, 0.750)
N (0.625, 0.750, 0.875)
N (0.750, 0.625, 0.375)
N (0.000, 0.500, 0.500)
N (0.250, 0.875, 0.125)
N (0.125, 0.750, 0.375)
N (0.500, 0.000, 0.500)
N (0.500, 0.500, 0.000)
N (0.250, 0.375, 0.625)
N (0.500, 0.500, 0.500)
N (0.875, 0.250, 0.625)
N (0.375, 0.125, 0.750)
N (0.500, 0.000, 0.000)
N (0.000, 0.500, 0.000)
N (0.000, 0.000, 0.000)
N (0.125, 0.375, 0.250)
N (0.000, 0.000, 0.500)
N (0.750, 0.125, 0.875)
N (0.625, 0.875, 0.250)
N (0.375, 0.250, 0.125)

Values from the calculation:
E_form (uncorrected)   -0.556 eV/atom
Mass density   3.76 g/cm³
SG   Ia-3d
E_tot   -3.884 eV/atom

---

Computed, not measured: crystalline Sc2MoAu at its relaxed geometry at the PBE-GGA level of DFT.

a = 10.093 Å, b = 10.093 Å, c = 10.093 Å
α = 17.31°, β = 17.31°, γ = 17.31°
Positions (direct):
Au (0.500, 0.500, 0.500)
Sc (0.088, 0.088, 0.088)
Sc (0.912, 0.912, 0.912)
Mo (0.000, 0.000, 0.000)

Values from the calculation:
Energy of formation from the pure elements   267 meV per atom
Mass density   8.00 g/cm³
SG   R-3m
E_tot   -6.426 eV/atom

---

Computed, not measured: crystalline Ac2Sn7Pd12 at its relaxed geometry at the PBE-GGA level of DFT.

a = 4.303 Å, b = 10.786 Å, c = 10.786 Å
α = 120.00°, β = 90.00°, γ = 90.00°
Positions (direct):
Pd (0.759, 0.065, 0.440)
Pd (0.241, 0.935, 0.560)
Pd (0.772, 0.258, 0.133)
Pd (0.228, 0.742, 0.867)
Pd (0.228, 0.125, 0.258)
Pd (0.759, 0.560, 0.625)
Pd (0.759, 0.375, 0.935)
Pd (0.772, 0.875, 0.742)
Pd (0.241, 0.625, 0.065)
Pd (0.772, 0.867, 0.125)
Pd (0.241, 0.440, 0.375)
Pd (0.228, 0.133, 0.875)
Sn (0.734, 0.104, 0.707)
Sn (0.266, 0.896, 0.293)
Sn (0.734, 0.603, 0.896)
Sn (0.266, 0.397, 0.104)
Sn (0.266, 0.707, 0.603)
Sn (0.500, 0.000, 0.000)
Sn (0.734, 0.293, 0.397)
Ac (0.761, 0.667, 0.333)
Ac (0.239, 0.333, 0.667)

Values from the calculation:
Energy of formation from the pure elements   -628 meV per atom
Mass density   9.81 g/cm³
SG   P-3
E_tot   -5.320 eV/atom

---

Computed, not measured: crystalline CuC8 at its relaxed geometry at the PBE-GGA level of DFT.

a = 4.824 Å, b = 4.824 Å, c = 4.824 Å
α = 111.35°, β = 111.35°, γ = 105.77°
Positions (direct):
C (0.000, 0.368, 0.368)
C (0.753, 0.247, 0.000)
C (0.753, 0.753, 0.505)
C (0.247, 0.247, 0.495)
C (0.632, 0.000, 0.632)
C (0.368, 0.000, 0.368)
C (0.000, 0.632, 0.632)
C (0.247, 0.753, 0.000)
Cu (0.000, 0.000, 0.000)

Values from the calculation:
Energy of formation from the pure elements   1774 meV per atom
Mass density   3.08 g/cm³
SG   I4/mmm
E_tot   -6.880 eV/atom

---

Computed, not measured: crystalline AlReTeI2 at its relaxed geometry at the PBE-GGA level of DFT.

a = 5.460 Å, b = 5.460 Å, c = 5.555 Å
α = 90.00°, β = 90.00°, γ = 90.00°
Last column: magnetic moment on the atom in μB.
Positions (direct):
I (0.500, 0.000, 0.000)  0.05
I (0.000, 0.500, 0.000)  0.05
Re (0.500, 0.500, 0.500)  4.21
Al (0.000, 0.000, 0.000)  -0.01
Te (0.000, 0.000, 0.500)  -0.03

Values from the calculation:
E_form (uncorrected)   1.147 eV/atom
Mass density   5.96 g/cm³
SG   P4/mmm
E_tot   -3.340 eV/atom

---

Computed, not measured: crystalline LiTaBe2 at its relaxed geometry at the PBE-GGA level of DFT.

a = 3.941 Å, b = 3.941 Å, c = 5.533 Å
α = 85.12°, β = 85.12°, γ = 36.04°
Positions (direct):
Be (0.994, 0.994, 0.946)
Be (0.506, 0.506, 0.554)
Li (0.750, 0.750, 0.750)
Ta (0.250, 0.250, 0.250)

Values from the calculation:
Energy of formation from the pure elements   428 meV per atom
Mass density   6.79 g/cm³
SG   C2/m
E_tot   -4.877 eV/atom

---

Computed, not measured: crystalline CeSm6Ho2Er3 at its relaxed geometry at the PBE-GGA level of DFT.

a = 6.199 Å, b = 6.199 Å, c = 11.812 Å
α = 95.03°, β = 95.03°, γ = 120.00°
Last column: magnetic moment on the atom in μB.
Positions (direct):
Sm (0.248, 0.248, 0.749)  0.01
Sm (0.415, 0.083, 0.251)  0.01
Sm (0.585, 0.917, 0.749)  0.01
Sm (0.083, 0.415, 0.251)  0.01
Sm (0.752, 0.752, 0.251)  0.01
Sm (0.917, 0.585, 0.749)  0.01
Ho (0.666, 0.334, 0.000)  0.07
Ho (0.334, 0.666, 0.000)  0.07
Er (0.833, 0.167, 0.500)  -0.01
Er (0.500, 0.500, 0.500)  -0.01
Er (0.167, 0.833, 0.500)  -0.01
Ce (0.000, 0.000, 0.000)  0.82

Values from the calculation:
Energy of formation from the pure elements   38 meV per atom
Mass density   8.04 g/cm³
SG   C2/m
E_tot   -4.719 eV/atom

---

Computed, not measured: crystalline NdEu2Cl at its relaxed geometry at the PBE-GGA level of DFT.

a = 3.826 Å, b = 3.826 Å, c = 10.835 Å
α = 79.83°, β = 79.83°, γ = 60.00°
Last column: magnetic moment on the atom in μB.
Positions (direct):
Nd (0.500, 0.500, 0.500)  0.04
Eu (0.265, 0.265, 0.206)  7.02
Eu (0.735, 0.735, 0.794)  7.02
Cl (0.000, 0.000, 0.000)  -0.02

Values from the calculation:
E_form (uncorrected)   -0.801 eV/atom
Mass density   5.97 g/cm³
SG   R-3m
E_tot   -7.592 eV/atom

---

Computed, not measured: crystalline AcZnCdPt2 at its relaxed geometry at the PBE-GGA level of DFT.

a = 5.649 Å, b = 7.321 Å, c = 5.885 Å
α = 90.00°, β = 90.00°, γ = 112.69°
Positions (direct):
Zn (0.750, 0.000, 0.000)
Zn (0.250, 0.000, 0.000)
Pt (0.148, 0.296, 0.804)
Pt (0.352, 0.704, 0.804)
Pt (0.648, 0.296, 0.196)
Pt (0.852, 0.704, 0.196)
Ac (0.750, 0.500, 0.729)
Ac (0.250, 0.500, 0.271)
Cd (0.500, 0.000, 0.500)
Cd (0.000, 0.000, 0.500)

Values from the calculation:
Energy of formation from the pure elements   -646 meV per atom
Mass density   11.76 g/cm³
SG   Cmme
E_tot   -4.321 eV/atom

---

Computed, not measured: crystalline BaTaVSe6 at its relaxed geometry at the PBE-GGA level of DFT.

a = 6.566 Å, b = 6.572 Å, c = 6.724 Å
α = 90.08°, β = 90.06°, γ = 60.02°
Last column: magnetic moment on the atom in μB.
Positions (direct):
Se (0.511, 0.006, 0.252)  -0.02
Se (0.642, 0.347, 0.705)  -0.01
Se (0.006, 0.485, 0.251)  -0.02
Se (0.011, 0.642, 0.706)  -0.01
Se (0.484, 0.510, 0.251)  -0.02
Se (0.346, 0.011, 0.704)  -0.01
Ta (0.667, 0.667, 0.514)  0.01
Ba (0.001, 0.000, 0.108)  0.00
V (0.333, 0.334, 0.508)  0.20

Values from the calculation:
E_form (uncorrected)   -0.880 eV/atom
Mass density   5.57 g/cm³
SG   P1
E_tot   -5.747 eV/atom

---

Computed, not measured: crystalline PrLuNiRh at its relaxed geometry at the PBE-GGA level of DFT.

a = 4.882 Å, b = 4.882 Å, c = 4.882 Å
α = 60.00°, β = 60.00°, γ = 60.00°
Positions (direct):
Pr (0.000, 0.000, 0.000)
Ni (0.250, 0.250, 0.250)
Rh (0.750, 0.750, 0.750)
Lu (0.500, 0.500, 0.500)

Values from the calculation:
Energy of formation from the pure elements   -529 meV per atom
Mass density   9.64 g/cm³
SG   F-43m
E_tot   -6.138 eV/atom

---

Computed, not measured: crystalline ThBeAl at its relaxed geometry at the PBE-GGA level of DFT.

a = 4.166 Å, b = 4.166 Å, c = 7.787 Å
α = 105.51°, β = 105.51°, γ = 90.00°
Positions (direct):
Al (0.250, 0.750, 0.500)
Al (0.000, 0.000, 0.000)
Th (0.667, 0.167, 0.334)
Th (0.417, 0.417, 0.834)
Be (0.833, 0.833, 0.666)
Be (0.083, 0.583, 0.166)

Values from the calculation:
Energy of formation from the pure elements   -197 meV per atom
Mass density   7.12 g/cm³
SG   I4_1md
E_tot   -5.160 eV/atom

---

Computed, not measured: crystalline Mg14MnBi at its relaxed geometry at the PBE-GGA level of DFT.

a = 6.403 Å, b = 6.403 Å, c = 10.307 Å
α = 90.00°, β = 90.00°, γ = 120.64°
Last column: magnetic moment on the atom in μB.
Positions (direct):
Mg (0.164, 0.836, 0.245)  0.01
Mg (0.159, 0.324, 0.254)  -0.01
Mg (0.830, 0.666, 0.000)  0.00
Mg (0.834, 0.667, 0.500)  -0.01
Mg (0.333, 0.166, 0.500)  -0.01
Mg (0.334, 0.666, 0.000)  0.00
Mg (0.670, 0.330, 0.743)  -0.01
Mg (0.670, 0.330, 0.257)  -0.01
Mg (0.334, 0.170, 0.000)  0.00
Mg (0.676, 0.841, 0.746)  -0.01
Mg (0.833, 0.167, 0.000)  0.00
Mg (0.159, 0.324, 0.746)  -0.01
Mg (0.676, 0.841, 0.254)  -0.01
Mg (0.164, 0.836, 0.755)  0.01
Bi (0.330, 0.670, 0.500)  -0.01
Mn (0.832, 0.168, 0.500)  3.80

Values from the calculation:
Energy of formation from the pure elements   37 meV per atom
Mass density   2.76 g/cm³
SG   Amm2
E_tot   -2.174 eV/atom

---

Computed, not measured: crystalline ThTiZnCu at its relaxed geometry at the PBE-GGA level of DFT.

a = 4.856 Å, b = 4.856 Å, c = 4.856 Å
α = 60.00°, β = 60.00°, γ = 60.00°
Last column: magnetic moment on the atom in μB.
Positions (direct):
Cu (0.500, 0.500, 0.500)  0.06
Th (0.750, 0.750, 0.750)  0.16
Zn (0.000, 0.000, 0.000)  0.00
Ti (0.250, 0.250, 0.250)  1.16

Values from the calculation:
Energy of formation from the pure elements   32 meV per atom
Mass density   8.38 g/cm³
SG   F-43m
E_tot   -5.139 eV/atom